Record 1
The following is a PBE calculation of an optimized crystal structure of Sc3AuO, from the Alexandria database.

The space group is P-1 (No. 2) and the conventional cell measures 6.160, 6.160 and 6.234 Å, with angles of 119.60, 119.59 and 90.02 degrees. The inequivalent atoms are Sc at (0.200, 0.200, 0.001), Sc at (0.255, 0.757, 0.500), Sc at (0.296, 0.694, 0.990), Au at (0.251, 0.249, 0.500), O at (0.000, 0.500, 0.000) and O at (0.500, 0.000, 0.000).

The calculation puts the density of states at the Fermi level at 1.44 states/eV/f.u. As for the uncorrected formation energy: -8.21 eV per formula unit. As for the mass density: 6.82 g/cm³. The calculation puts the magnetic moment at 0.0 μB per cell.

Record 2
The following is a PBE calculation of an optimized crystal structure of AlCu2Ni3, from the Alexandria database.

The space group is P-3m1 (No. 164) and the conventional cell measures 5.0606, 5.0606 and 6.2436 Å, with angles of 90.00, 90.00 and 120.00 degrees. The inequivalent atoms are Al at (0.3333, 0.6667, 0.3496), Cu at (0.0000, 0.0000, 0.0000), Cu at (0.0000, 0.5000, 0.0000) and Ni at (0.1650, 0.3299, 0.6673).

The calculation puts the energy of formation from the pure elements at -0.25 eV per atom. The calculation puts the density of states at the Fermi level at 6.14 states/eV/f.u. The energy above the most stable polymorph in this dataset is 0.00 kcal/mol of atoms. As for the mass density: 7.92 g/cm³. The calculation puts the magnetic moment at 0.0 μB per cell.

Record 3
The following is a PBE calculation of an optimized crystal structure of ReSnB2Ru, from the Alexandria database.

The space group is P4/mmm (No. 123) and the conventional cell measures 4.129, 4.129 and 4.940 Å, with angles of 90.00, 90.00 and 90.00 degrees. The inequivalent atoms are Re at (0.000, 0.000, 0.000), Sn at (0.500, 0.500, 0.500), B at (0.000, 0.500, 0.000) and Ru at (0.000, 0.000, 0.500).

The calculation puts the energy of formation from the pure elements at 1.11 eV per atom. The calculation puts the density of states at the Fermi level at 3.14 states/eV/f.u. As for the mass density: 8.43 g/cm³. The calculation puts the magnetic moment at 0.0 μB per cell.

Record 4
The following is a PBE calculation of an optimized crystal structure of Ca3TlIn, from the Alexandria database.

The space group is Pm-3m (No. 221) and the conventional cell measures 5.976, 5.976 and 5.976 Å, with angles of 90.00, 90.00 and 90.00 degrees. The inequivalent atoms are Ca at (0.000, 0.000, 0.500), Tl at (0.500, 0.500, 0.500) and In at (0.000, 0.000, 0.000).

The calculation puts the energy of formation from the pure elements at 0.02 eV per atom. The calculation puts the density of states at the Fermi level at 6.66 states/eV/f.u. The energy above the most stable polymorph in this dataset is 9.21 kcal/mol of atoms. As for the mass density: 3.42 g/cm³. The calculation puts the magnetic moment at 0.0 μB per cell.

Record 5
The following is a PBE calculation of an optimized crystal structure of DyHo4Al, from the Alexandria database.

The space group is C2/c (No. 15) and the conventional cell measures 8.670, 13.740 and 6.195 Å, with angles of 90.00, 108.56 and 90.00 degrees. The inequivalent atoms are Dy at (0.000, 0.092, 0.250), Ho at (0.099, 0.315, 0.544), Ho at (0.220, 0.118, 0.877) and Al at (0.000, 0.499, 0.750).

The calculation puts the energy of formation from the pure elements at -0.04 eV per atom. The calculation puts the density of states at the Fermi level at 7.57 states/eV/f.u. The energy above the most stable polymorph in this dataset is 1.97 kcal/mol of atoms. As for the mass density: 8.06 g/cm³. The calculation puts the magnetic moment at 0.0 μB per cell.

Record 6
The following is a PBE calculation of an optimized crystal structure of Ba2SrRe, from the Alexandria database.

The space group is Imm2 (No. 44) and the conventional cell measures 3.711, 5.833 and 15.487 Å, with angles of 90.00, 90.00 and 90.00 degrees. The inequivalent atoms are Ba at (0.000, 0.000, 0.000), Ba at (0.000, 0.500, 0.166), Sr at (0.000, 0.500, 0.837) and Re at (0.000, 0.000, 0.501).

The calculation puts the energy of formation from the pure elements at 0.87 eV per atom. The calculation puts the density of states at the Fermi level at 5.82 states/eV/f.u. The energy above the most stable polymorph in this dataset is 0.64 kcal/mol of atoms. As for the mass density: 5.43 g/cm³. The calculation puts the magnetic moment at 2.7 μB per cell.

Record 7
The following is a PBE calculation of an optimized crystal structure of Mn2ReNi, from the Alexandria database.

The space group is C2/m (No. 12) and the conventional cell measures 8.454, 2.594 and 4.473 Å, with angles of 90.00, 99.27 and 90.00 degrees. The inequivalent atoms are Mn at (0.247, 0.000, 0.234), Re at (0.000, 0.000, 0.500) and Ni at (0.000, 0.500, 0.000).

The calculation puts the energy of formation from the pure elements at 0.09 eV per atom. The calculation puts the density of states at the Fermi level at 4.95 states/eV/f.u. As for the mass density: 12.17 g/cm³. The calculation puts the magnetic moment at 4.7 μB per cell.

Record 8
The following is a PBE calculation of an optimized crystal structure of CaY3Ir, from the Alexandria database.

The space group is P6_3/mmc (No. 194) and the conventional cell measures 4.5221, 4.5221 and 21.8832 Å, with angles of 90.00, 90.00 and 120.00 degrees. The inequivalent atoms are Ca at (0.0000, 0.0000, 0.0000), Y at (0.0000, 0.0000, 0.2500), Y at (0.3333, 0.6667, 0.1266) and Ir at (0.3333, 0.6667, 0.2500).

The calculation puts the energy of formation from the pure elements at 0.11 eV per atom. The calculation puts the density of states at the Fermi level at 7.11 states/eV/f.u. The energy above the most stable polymorph in this dataset is 11.92 kcal/mol of atoms. As for the mass density: 4.28 g/cm³. The calculation puts the magnetic moment at 0.0 μB per cell.

Repeat the first record exactly.
The following is a PBE calculation of an optimized crystal structure of Sc3AuO, from the Alexandria database.

The space group is P-1 (No. 2) and the conventional cell measures 6.160, 6.160 and 6.234 Å, with angles of 119.60, 119.59 and 90.02 degrees. The inequivalent atoms are Sc at (0.200, 0.200, 0.001), Sc at (0.255, 0.757, 0.500), Sc at (0.296, 0.694, 0.990), Au at (0.251, 0.249, 0.500), O at (0.000, 0.500, 0.000) and O at (0.500, 0.000, 0.000).

The calculation puts the density of states at the Fermi level at 1.44 states/eV/f.u. As for the uncorrected formation energy: -8.21 eV per formula unit. As for the mass density: 6.82 g/cm³. The calculation puts the magnetic moment at 0.0 μB per cell.

Please write out number 1 again, unchanged.
The following is a PBE calculation of an optimized crystal structure of Sc3AuO, from the Alexandria database.

The space group is P-1 (No. 2) and the conventional cell measures 6.160, 6.160 and 6.234 Å, with angles of 119.60, 119.59 and 90.02 degrees. The inequivalent atoms are Sc at (0.200, 0.200, 0.001), Sc at (0.255, 0.757, 0.500), Sc at (0.296, 0.694, 0.990), Au at (0.251, 0.249, 0.500), O at (0.000, 0.500, 0.000) and O at (0.500, 0.000, 0.000).

The calculation puts the density of states at the Fermi level at 1.44 states/eV/f.u. As for the uncorrected formation energy: -8.21 eV per formula unit. As for the mass density: 6.82 g/cm³. The calculation puts the magnetic moment at 0.0 μB per cell.

Which value of mass density does entry 1 give?
6.82 g/cm³

mass density of number 7 (Mn2ReNi)?
12.17 g/cm³